Record 1
Er3Fe2Ge3: relaxed, PBE.

Cell lengths 4.1742, 10.4758, 13.8488 Å; angles 90.00, 90.00, 90.00 degrees
Space group Cmcm (No. 63)
Unique sites:
Er (0.0000, 0.0819, 0.1105)
Er (0.0000, 0.3624, 0.2500)
Fe (0.0000, 0.2119, 0.5913)
Ge (0.0000, 0.3345, 0.7500)
Ge (0.0000, 0.3763, 0.0399)

Computed properties:
energy	-0.451	Ry per atom
total magnetization	2.4	μB/f.u.

Record 2
HoEr2Fe2Ge4: relaxed, PBE.

Cell lengths 10.5077, 4.1995, 7.9622 Å; angles 90.00, 108.34, 90.00 degrees
Space group C2/m (No. 12)
Unique sites:
Ho (0.0000, 0.0000, 0.0000)
Er (0.1227, 0.5000, 0.6929)
Fe (0.1850, 0.5000, 0.3651)
Ge (0.0999, 0.0000, 0.4029)
Ge (0.2111, 0.5000, 0.0832)

Computed properties:
energy	-0.445	Ry per atom
total magnetization	0.0	μB/f.u.

Record 3
HoErFeGe2: relaxed, PBE.

Cell lengths 10.4968, 4.1901, 10.1326 Å; angles 90.00, 118.04, 90.00 degrees
Space group C2/m (No. 12)
Unique sites:
Ho (0.0040, 0.0000, 0.3308)
Er (0.1871, 0.0000, 0.1117)
Fe (0.2233, 0.5000, 0.3589)
Ge (0.0122, 0.5000, 0.8759)
Ge (0.1528, 0.5000, 0.5649)

Computed properties:
energy	-0.442	Ry per atom
total magnetization	1.1	μB/f.u.

Record 4
HoErFe2Ge2N: relaxed, PBE.

Cell lengths 10.5711, 3.8519, 6.7473 Å; angles 90.00, 127.35, 90.00 degrees
Space group Cm (No. 8)
Unique sites:
Ho (0.0000, 0.0000, 0.0000)
Er (0.3852, 0.5000, 0.4298)
Fe (0.1363, 0.5000, 0.7981)
Fe (0.2484, 0.0000, 0.6307)
Ge (0.1025, 0.5000, 0.4132)
Ge (0.2827, 0.0000, 0.0167)
N (0.4421, 0.0000, 0.7133)

Computed properties:
energy	-0.512	Ry per atom
total magnetization	0.0	μB/f.u.

Record 5
ErFe2H3: relaxed, PBE.

Cell lengths 11.1222, 11.1222, 12.3682 Å; angles 90.00, 90.00, 120.00 degrees
Space group R-3m (No. 166, hexagonal axes)
Unique sites:
Er (0.0000, 0.0000, 0.1340)
Er (0.0001, 0.5001, 0.1336)
Fe (0.0000, 0.0000, 0.5000)
Fe (0.0000, 0.2497, 0.0000)
Fe (0.0000, 0.5000, 0.5000)
Fe (0.0834, 0.1668, 0.6665)
H (0.0297, 0.2651, 0.6078)
H (0.0687, 0.1374, 0.2750)
H (0.0981, 0.1963, 0.0592)

Computed properties:
energy	-0.398	Ry per atom
total magnetization	3.1	μB/f.u.

Record 6
HoEr2Fe9: relaxed, PBE.

Cell lengths 5.0269, 5.0269, 24.0297 Å; angles 90.00, 90.00, 120.00 degrees
Space group R-3m (No. 166, hexagonal axes)
Unique sites:
Ho (0.0000, 0.0000, 0.0000)
Er (0.0000, 0.0000, 0.1418)
Fe (0.0000, 0.0000, 0.3328)
Fe (0.0000, 0.0000, 0.5000)
Fe (0.9998, 0.4999, 0.0815)

Computed properties:
total magnetization	15.7	μB/f.u.
calculated formation energy	-0.0961	eV/atom

Record 7
HoErFe2: relaxed, PBE.

Cell lengths 3.7930, 5.4306, 7.7322 Å; angles 90.00, 90.00, 90.00 degrees
Space group Pmc2_1 (No. 26)
Unique sites:
Ho (0.0000, 0.1481, 0.0000)
Er (0.5000, 0.3519, 0.3546)
Fe (0.0000, 0.3284, 0.6512)
Fe (0.5000, 0.1748, 0.7026)

Computed properties:
total magnetization	0.0	μB/f.u.
calculated formation energy	-0.0453	eV/atom

Record 8
HoErFe: relaxed, PBE.

Cell lengths 6.5471, 6.5471, 6.5471 Å; angles 90.00, 90.00, 90.00 degrees
Space group F-43m (No. 216)
Unique sites:
Ho (0.0000, 0.0000, 0.0000)
Er (0.0000, 0.0000, 0.5000)
Fe (0.2500, 0.2500, 0.7500)

Computed properties:
total magnetization	0.1	μB/f.u.
calculated formation energy	0.1842	eV/atom

Record 9
HoErInFe2: relaxed, PBE.

Cell lengths 3.9529, 3.7533, 13.6584 Å; angles 90.00, 90.00, 90.00 degrees
Space group Amm2 (No. 38)
Unique sites:
Ho (0.0000, 0.0000, 0.0000)
Er (0.0000, 0.0000, 0.7231)
In (0.5000, 0.0000, 0.3613)
Fe (0.5000, 0.0000, 0.1528)
Fe (0.5000, 0.0000, 0.5711)

Computed properties:
energy	-0.435	Ry per atom
total magnetization	1.4	μB/f.u.

Record 10
Ho2ErFeSn3Ir2: relaxed, PBE.

Cell lengths 3.7277, 13.1385, 7.5889 Å; angles 90.00, 90.00, 90.00 degrees
Space group Amm2 (No. 38)
Unique sites:
Ho (0.0000, 0.2036, 0.0000)
Er (0.0000, 0.0000, 0.3892)
Fe (0.0000, 0.0000, 0.7962)
Sn (0.5000, 0.0000, 0.0537)
Sn (0.5000, 0.1288, 0.6676)
Ir (0.5000, 0.1662, 0.2966)

Computed properties:
energy	-0.474	Ry per atom
total magnetization	1.6	μB/f.u.

Record 11
HoEr2Fe7Ni2: relaxed, PBE.

Cell lengths 4.9680, 4.9680, 24.5689 Å; angles 90.00, 90.00, 120.00 degrees
Space group R-3m (No. 166, hexagonal axes)
Unique sites:
Ho (0.0000, 0.0000, 0.0000)
Er (0.0000, 0.0000, 0.1417)
Fe (0.0000, 0.0000, 0.5000)
Fe (0.0002, 0.5001, 0.0825)
Ni (0.0000, 0.0000, 0.3327)

Computed properties:
total magnetization	14.2	μB/f.u.
calculated formation energy	-0.1546	eV/atom

Record 12
Ho2ErFeNi8: relaxed, PBE.

Cell lengths 4.9537, 4.9537, 24.0545 Å; angles 90.00, 90.00, 120.00 degrees
Space group R-3m (No. 166, hexagonal axes)
Unique sites:
Ho (0.0000, 0.0000, 0.1386)
Er (0.0000, 0.0000, 0.0000)
Fe (0.0000, 0.0000, 0.5000)
Ni (0.0000, 0.0000, 0.3335)
Ni (0.0015, 0.5007, 0.9169)

Computed properties:
total magnetization	3.3	μB/f.u.
calculated formation energy	-0.3641	eV/atom

Question: Number 2 is which compound?
Answer: HoEr2Fe2Ge4